1.
Below is a relaxed Fe10CoN8 crystal, with properties calculated at the PBE level.

Output
energy relative to the elements, uncorrected	161	meV/atom
magnetic moment	0.71	μB per atom

Unit cell a=17.399 b=3.795 c=6.019 alpha=90.00 beta=107.97 gamma=90.00
Space group C2/m (No. 12)
One atom of each set of equivalent atoms:
Fe: 0.021 0.000 0.288 [4 per cell]
Fe: 0.074 0.500 0.669 [4 per cell]
Fe: 0.146 0.500 0.276 [4 per cell]
Fe: 0.175 0.000 0.621 [4 per cell]
Fe: 0.198 0.000 0.051 [4 per cell]
Co: 0.000 0.500 0.000 [2 per cell]
N: 0.037 0.500 0.318 [4 per cell]
N: 0.101 0.000 0.777 [4 per cell]
N: 0.141 0.000 0.299 [4 per cell]
N: 0.231 0.500 0.146 [4 per cell]


2.
Below is a relaxed Pm2Mg15Ag2 crystal, with properties calculated at the PBE level.

Output
ΔH_f (0 K)	-0.059	eV per atom
magnetic moment	0.00	μB per atom

Unit cell a=10.1136 b=10.1136 c=15.1221 alpha=90.00 beta=90.00 gamma=120.00
Space group R-3m (No. 166, hexagonal axes)
One atom of each set of equivalent atoms:
Pm: 0.0000 0.0000 0.1739 [6 per cell]
Mg: 0.0000 0.2976 0.5000 [18 per cell]
Mg: 0.0000 0.5000 0.0000 [9 per cell]
Mg: 0.0042 0.5021 0.6515 [18 per cell]
Ag: 0.0000 0.0000 0.3998 [6 per cell]


3.
Below is a relaxed Sr2ZrZn crystal, with properties calculated at the PBE level.

Output
ΔH_f (0 K)	0.398	eV per atom
magnetic moment	0.00	μB per atom

Unit cell a=3.6873 b=3.6873 c=32.5644 alpha=90.00 beta=90.00 gamma=120.00
Space group R-3m (No. 166, hexagonal axes)
One atom of each set of equivalent atoms:
Sr: 0.0000 0.0000 0.2448 [6 per cell]
Zr: 0.0000 0.0000 0.0000 [3 per cell]
Zn: 0.0000 0.0000 0.5000 [3 per cell]